(1)
# LaInSeF2, relaxed, DFT PBE
data_LaInSeF2
_cell_length_a 4.692
_cell_length_b 4.692
_cell_length_c 6.026
_cell_angle_alpha 90.00
_cell_angle_beta 90.00
_cell_angle_gamma 90.00
_space_group_name_H-M_alt 'P 4/m m m'
_space_group_IT_number 123
_space_group_name_Hall '-P 4 2'
loop_
_atom_site_label
_atom_site_fract_x
_atom_site_fract_y
_atom_site_fract_z
_atom_site_occupancy
La1 0.000 0.000 0.000 1
In1 0.500 0.500 0.500 1
Se1 0.000 0.000 0.500 1
F1 0.000 0.500 0.000 1
# Calculated total energy: -5.48 eV/atom

(2)
# CaCrIr2, relaxed, DFT PBE
data_CaCrIr2
_cell_length_a 2.869
_cell_length_b 4.535
_cell_length_c 5.276
_cell_angle_alpha 90.00
_cell_angle_beta 90.51
_cell_angle_gamma 90.00
_space_group_name_H-M_alt 'P 1 m 1'
_space_group_IT_number 6
_space_group_name_Hall 'P -2y'
loop_
_atom_site_label
_atom_site_fract_x
_atom_site_fract_y
_atom_site_fract_z
_atom_site_occupancy
Ca1 0.000 0.000 0.000 1
Cr1 0.989 0.500 0.392 1
Ir1 0.495 0.000 0.494 1
Ir2 0.497 0.500 0.789 1
# DFT formation energy: 0.125 eV per atom
# Relative energy among the computed polymorphs: 253 meV per atom

(3)
# La8Zn2Ir, relaxed, DFT PBE
data_La8Zn2Ir
_cell_length_a 18.580
_cell_length_b 5.286
_cell_length_c 6.972
_cell_angle_alpha 90.00
_cell_angle_beta 100.22
_cell_angle_gamma 90.00
_space_group_name_H-M_alt 'C 1 2/m 1'
_space_group_IT_number 12
_space_group_name_Hall '-C 2y'
loop_
_atom_site_label
_atom_site_fract_x
_atom_site_fract_y
_atom_site_fract_z
_atom_site_occupancy
La1 0.026 0.000 0.287 1
La2 0.089 0.500 0.931 1
La3 0.155 0.500 0.455 1
La4 0.203 0.000 0.811 1
Zn1 0.195 0.000 0.244 1
Ir1 0.000 0.500 0.500 1
# DFT formation energy: -0.249 eV per atom
# Relative energy among the computed polymorphs: 0 meV per atom

(4)
# BaHfSb2, relaxed, DFT PBE
data_BaHfSb2
_cell_length_a 7.738
_cell_length_b 7.738
_cell_length_c 7.738
_cell_angle_alpha 90.00
_cell_angle_beta 90.00
_cell_angle_gamma 90.00
_space_group_name_H-M_alt 'F m -3 m'
_space_group_IT_number 225
_space_group_name_Hall '-F 4 2 3'
loop_
_atom_site_label
_atom_site_fract_x
_atom_site_fract_y
_atom_site_fract_z
_atom_site_occupancy
Ba1 0.000 0.000 0.000 1
Hf1 0.000 0.000 0.500 1
Sb1 0.250 0.250 0.250 1
# Relative energy among the computed polymorphs: 497 meV per atom

(5)
# CaLaMo4, relaxed, DFT PBE
data_CaLaMo4
_cell_length_a 7.897
_cell_length_b 7.897
_cell_length_c 7.897
_cell_angle_alpha 90.00
_cell_angle_beta 90.00
_cell_angle_gamma 90.00
_space_group_name_H-M_alt 'F -4 3 m'
_space_group_IT_number 216
_space_group_name_Hall 'F -4 2 3'
loop_
_atom_site_label
_atom_site_fract_x
_atom_site_fract_y
_atom_site_fract_z
_atom_site_occupancy
Ca1 0.000 0.000 0.000 1
La1 0.250 0.250 0.750 1
Mo1 0.125 0.125 0.375 1
# DFT formation energy: 0.408 eV per atom

(6)
# SrLi2AlCd4, relaxed, DFT PBE
data_SrLi2AlCd4
_cell_length_a 4.6525
_cell_length_b 4.6525
_cell_length_c 30.3644
_cell_angle_alpha 90.00
_cell_angle_beta 90.00
_cell_angle_gamma 120.00
_space_group_name_H-M_alt 'R -3 m'
_space_group_IT_number 166
_space_group_name_Hall '-R 3 2"'
loop_
_atom_site_label
_atom_site_fract_x
_atom_site_fract_y
_atom_site_fract_z
_atom_site_occupancy
Sr1 0.0000 0.0000 0.0000 1
Li1 0.0000 0.0000 0.2291 1
Al1 0.0000 0.0000 0.5000 1
Cd1 0.0000 0.0000 0.1267 1
Cd2 0.0000 0.0000 0.4041 1
# DFT formation energy: -0.179 eV per atom

(7)
# BaLiGe, relaxed, DFT PBE
data_BaLiGe
_cell_length_a 4.786
_cell_length_b 4.786
_cell_length_c 7.400
_cell_angle_alpha 90.00
_cell_angle_beta 90.00
_cell_angle_gamma 90.00
_space_group_name_H-M_alt 'P 4/n m m'
_space_group_IT_number 129
loop_
_space_group_symop_operation_xyz
'x,y,z'
'-x,-y,-z'
'-y+1/2,x,z'
'y+1/2,-x,-z'
'-x+1/2,-y+1/2,z'
'x+1/2,y+1/2,-z'
'y,-x+1/2,z'
'-y,x+1/2,-z'
'x+1/2,-y,-z'
'-x+1/2,y,z'
'-y,-x,-z'
'y,x,z'
'-x,y+1/2,-z'
'x,-y+1/2,z'
'y+1/2,x+1/2,-z'
'-y+1/2,-x+1/2,z'
loop_
_atom_site_label
_atom_site_fract_x
_atom_site_fract_y
_atom_site_fract_z
_atom_site_occupancy
Ba1 0.250 0.250 0.179 1
Li1 0.250 0.750 0.500 1
Ge1 0.250 0.250 0.688 1
# DFT formation energy: -0.398 eV per atom

(8)
# CaTcBr2, relaxed, DFT PBE
data_CaTcBr2
_cell_length_a 7.073
_cell_length_b 7.073
_cell_length_c 7.073
_cell_angle_alpha 90.00
_cell_angle_beta 90.00
_cell_angle_gamma 90.00
_space_group_name_H-M_alt 'F m -3 m'
_space_group_IT_number 225
_space_group_name_Hall '-F 4 2 3'
loop_
_atom_site_label
_atom_site_fract_x
_atom_site_fract_y
_atom_site_fract_z
_atom_site_occupancy
Ca1 0.000 0.000 0.000 1
Tc1 0.000 0.000 0.500 1
Br1 0.250 0.250 0.250 1
# Relative energy among the computed polymorphs: 208 meV per atom

(9)
# Mg4TcSe, relaxed, DFT PBE
data_Mg4TcSe
_cell_length_a 7.729
_cell_length_b 7.729
_cell_length_c 7.729
_cell_angle_alpha 90.00
_cell_angle_beta 90.00
_cell_angle_gamma 90.00
_space_group_name_H-M_alt 'F -4 3 m'
_space_group_IT_number 216
_space_group_name_Hall 'F -4 2 3'
loop_
_atom_site_label
_atom_site_fract_x
_atom_site_fract_y
_atom_site_fract_z
_atom_site_occupancy
Mg1 0.124 0.124 0.376 1
Tc1 0.250 0.250 0.750 1
Se1 0.000 0.000 0.000 1
# Calculated total energy: -2.95 eV/atom

(10)
# Ba2SiGeN, relaxed, DFT PBE
data_Ba2SiGeN
_cell_length_a 7.045
_cell_length_b 4.159
_cell_length_c 9.765
_cell_angle_alpha 90.00
_cell_angle_beta 110.56
_cell_angle_gamma 90.00
_space_group_name_H-M_alt 'P 1 21/m 1'
_space_group_IT_number 11
_space_group_name_Hall '-P 2yb'
loop_
_atom_site_label
_atom_site_fract_x
_atom_site_fract_y
_atom_site_fract_z
_atom_site_occupancy
Ba1 0.210 0.250 0.387 1
Ba2 0.217 0.250 0.968 1
Si1 0.456 0.750 0.246 1
Ge1 0.337 0.750 0.706 1
N1 0.193 0.750 0.169 1
# Calculated total energy: -5.10 eV/atom

(11)
# Ba2Ga4Rh5, relaxed, DFT PBE
data_Ba2Ga4Rh5
_cell_length_a 6.037
_cell_length_b 10.418
_cell_length_c 14.280
_cell_angle_alpha 90.00
_cell_angle_beta 90.00
_cell_angle_gamma 90.00
_space_group_name_H-M_alt 'F m m m'
_space_group_IT_number 69
_space_group_name_Hall '-F 2 2'
loop_
_atom_site_label
_atom_site_fract_x
_atom_site_fract_y
_atom_site_fract_z
_atom_site_occupancy
Ba1 0.000 0.000 0.131 1
Ga1 0.000 0.162 0.372 1
Rh1 0.000 0.000 0.500 1
Rh2 0.250 0.250 0.000 1
Rh3 0.250 0.250 0.250 1
# DFT formation energy: -0.606 eV per atom

(12)
# SbBrCl2, relaxed, DFT PBE
data_SbBrCl2
_cell_length_a 7.141
_cell_length_b 7.141
_cell_length_c 7.141
_cell_angle_alpha 90.00
_cell_angle_beta 90.00
_cell_angle_gamma 90.00
_space_group_name_H-M_alt 'F m -3 m'
_space_group_IT_number 225
_space_group_name_Hall '-F 4 2 3'
loop_
_atom_site_label
_atom_site_fract_x
_atom_site_fract_y
_atom_site_fract_z
_atom_site_occupancy
Sb1 0.000 0.000 0.000 1
Br1 0.000 0.000 0.500 1
Cl1 0.250 0.250 0.250 1
# Relative energy among the computed polymorphs: 713 meV per atom

(13)
# HfReS2, relaxed, DFT PBE
data_HfReS2
_cell_length_a 6.196
_cell_length_b 6.196
_cell_length_c 6.196
_cell_angle_alpha 90.00
_cell_angle_beta 90.00
_cell_angle_gamma 90.00
_space_group_name_H-M_alt 'F m -3 m'
_space_group_IT_number 225
_space_group_name_Hall '-F 4 2 3'
loop_
_atom_site_label
_atom_site_fract_x
_atom_site_fract_y
_atom_site_fract_z
_atom_site_occupancy
Hf1 0.000 0.000 0.000 1
Re1 0.000 0.000 0.500 1
S1 0.250 0.250 0.250 1
# Relative energy among the computed polymorphs: 134 meV per atom

(14)
# NaErInSn, relaxed, DFT PBE
data_NaErInSn
_cell_length_a 7.479
_cell_length_b 7.479
_cell_length_c 7.479
_cell_angle_alpha 90.00
_cell_angle_beta 90.00
_cell_angle_gamma 90.00
_space_group_name_H-M_alt 'F -4 3 m'
_space_group_IT_number 216
_space_group_name_Hall 'F -4 2 3'
loop_
_atom_site_label
_atom_site_fract_x
_atom_site_fract_y
_atom_site_fract_z
_atom_site_occupancy
Na1 0.000 0.000 0.000 1
Er1 0.000 0.000 0.500 1
In1 0.250 0.250 0.750 1
Sn1 0.250 0.250 0.250 1
# DFT formation energy: -0.286 eV per atom

(15)
# CaPr2O, relaxed, DFT PBE
data_CaPr2O
_cell_length_a 3.7789
_cell_length_b 3.7789
_cell_length_c 27.8733
_cell_angle_alpha 90.00
_cell_angle_beta 90.00
_cell_angle_gamma 120.00
_space_group_name_H-M_alt 'R -3 m'
_space_group_IT_number 166
_space_group_name_Hall '-R 3 2"'
loop_
_atom_site_label
_atom_site_fract_x
_atom_site_fract_y
_atom_site_fract_z
_atom_site_occupancy
Ca1 0.0000 0.0000 0.0000 1
Pr1 0.0000 0.0000 0.2151 1
O1 0.0000 0.0000 0.5000 1
# Calculated total energy: -5.35 eV/atom

(16)
# Ba3Zn2Ir4, relaxed, DFT PBE
data_Ba3Zn2Ir4
_cell_length_a 11.797
_cell_length_b 4.479
_cell_length_c 8.796
_cell_angle_alpha 90.00
_cell_angle_beta 104.79
_cell_angle_gamma 90.00
_space_group_name_H-M_alt 'C 1 2/m 1'
_space_group_IT_number 12
_space_group_name_Hall '-C 2y'
loop_
_atom_site_label
_atom_site_fract_x
_atom_site_fract_y
_atom_site_fract_z
_atom_site_occupancy
Ba1 0.000 0.000 0.000 1
Ba2 0.128 0.500 0.376 1
Zn1 0.163 0.500 0.773 1
Ir1 0.077 0.000 0.633 1
Ir2 0.239 0.000 0.924 1
# DFT formation energy: -0.207 eV per atom

(17)
# TaSbOs4, relaxed, DFT PBE
data_TaSbOs4
_cell_length_a 7.396
_cell_length_b 7.396
_cell_length_c 7.396
_cell_angle_alpha 90.00
_cell_angle_beta 90.00
_cell_angle_gamma 90.00
_space_group_name_H-M_alt 'F -4 3 m'
_space_group_IT_number 216
_space_group_name_Hall 'F -4 2 3'
loop_
_atom_site_label
_atom_site_fract_x
_atom_site_fract_y
_atom_site_fract_z
_atom_site_occupancy
Ta1 0.000 0.000 0.000 1
Sb1 0.250 0.250 0.750 1
Os1 0.125 0.125 0.375 1
# Calculated total energy: -9.62 eV/atom

(18)
# MgBNO2, relaxed, DFT PBE
data_MgBNO2
_cell_length_a 3.689
_cell_length_b 3.689
_cell_length_c 2.968
_cell_angle_alpha 90.00
_cell_angle_beta 90.00
_cell_angle_gamma 90.00
_space_group_name_H-M_alt 'P 4/m m m'
_space_group_IT_number 123
_space_group_name_Hall '-P 4 2'
loop_
_atom_site_label
_atom_site_fract_x
_atom_site_fract_y
_atom_site_fract_z
_atom_site_occupancy
Mg1 0.000 0.000 0.000 1
B1 0.500 0.500 0.500 1
N1 0.500 0.500 0.000 1
O1 0.000 0.500 0.500 1
# Calculated total energy: -5.87 eV/atom

(19)
# Dy4Co2Pd, relaxed, DFT PBE
data_Dy4Co2Pd
_cell_length_a 8.396
_cell_length_b 8.549
_cell_length_c 8.551
_cell_angle_alpha 90.00
_cell_angle_beta 90.00
_cell_angle_gamma 90.00
_space_group_name_H-M_alt 'I 21 21 21'
_space_group_IT_number 24
_space_group_name_Hall 'I 2b 2c'
loop_
_atom_site_label
_atom_site_fract_x
_atom_site_fract_y
_atom_site_fract_z
_atom_site_occupancy
Dy1 0.052 0.060 0.066 1
Dy2 0.197 0.316 0.689 1
Co1 0.000 0.250 0.372 1
Co2 0.250 0.375 0.000 1
Pd1 0.126 0.000 0.750 1
# DFT formation energy: -0.327 eV per atom

(20)
# ScSb2P, relaxed, DFT PBE
data_ScSb2P
_cell_length_a 7.161
_cell_length_b 7.161
_cell_length_c 7.161
_cell_angle_alpha 90.00
_cell_angle_beta 90.00
_cell_angle_gamma 90.00
_space_group_name_H-M_alt 'F -4 3 m'
_space_group_IT_number 216
_space_group_name_Hall 'F -4 2 3'
loop_
_atom_site_label
_atom_site_fract_x
_atom_site_fract_y
_atom_site_fract_z
_atom_site_occupancy
Sc1 0.000 0.000 0.000 1
Sb1 0.000 0.000 0.500 1
Sb2 0.250 0.250 0.250 1
P1 0.250 0.250 0.750 1
# Calculated total energy: -4.99 eV/atom